# Cu3NiP2O9 (GGA+U, optimized geometry)
data_Cu3NiP2O9
_chemical_formula_sum 'Cu12 Ni4 P8 O36'
_cell_length_a 8.2952
_cell_length_b 9.9534
_cell_length_c 9.8886
_cell_angle_alpha 90.00
_cell_angle_beta 126.35
_cell_angle_gamma 90.00
_symmetry_space_group_name_H-M 'P 1 21/c 1'
_symmetry_Int_Tables_number 14
loop_
_symmetry_equiv_pos_as_xyz
'x,y,z'
'-x,-y,-z'
'-x,y+1/2,-z+1/2'
'x,-y+1/2,z+1/2'
loop_
_atom_site_label
_atom_site_type_symbol
_atom_site_fract_x
_atom_site_fract_y
_atom_site_fract_z
Cu1 Cu 0.0748 0.0428 0.3976
Cu2 Cu 0.2600 0.1872 0.2517
Cu3 Cu 0.4198 0.6078 0.8762
Ni1 Ni 0.2678 0.6455 0.5014
P1 P 0.0318 0.1575 0.8642
P2 P 0.3894 0.5965 0.2482
O1 O 0.0027 0.7457 0.7834
O2 O 0.1033 0.0166 0.8513
O3 O 0.1654 0.5582 0.1098
O4 O 0.1665 0.6377 0.6541
O5 O 0.1813 0.2324 0.0296
O6 O 0.3210 0.0614 0.4218
O7 O 0.4118 0.6773 0.3927
O8 O 0.4476 0.6890 0.1542
O9 O 0.4842 0.5308 0.6929
# DOS(E_F)   0.35 states/eV/f.u.
# E   -365.66 eV for the cell shown